1.
PmInAg2 | meta-GGA SCAN | PBEsol geometry

```
4
Lattice="-1.338 -4.147 2.291 -1.883 -3.743 -2.586 2.622 -4.119 -0.635" Properties=species:S:1:pos:R:3 pbc="T T T"
Ag -0.449 -9.007 -0.697
Ag -0.150 -3.002 -0.232
Pm 0.000 0.000 0.000
In -0.299 -6.004 -0.465
```

The size of the total moment is 0.00 Bohr magnetons per cell. The total energy is -35.46 eV per atom. The formation energy from the elements is -0.4314 eV per atom. As for the density of states at the Fermi level: 0.330 states/eV/atom.


2.
MnCdFe2 | meta-GGA SCAN | PBEsol geometry

```
4
Lattice="3.709 0.000 0.000 0.000 3.709 0.000 0.000 0.000 3.960" Properties=species:S:1:pos:R:3 pbc="T T T"
Cd 0.000 0.000 1.980
Mn 1.855 1.855 1.980
Fe 1.855 0.000 0.000
Fe 0.000 1.855 0.000
```

The size of the total moment is 8.89 Bohr magnetons per cell. The total energy is -21.05 eV per atom. The formation energy from the elements is 0.1815 eV per atom. As for the density of states at the Fermi level: 0.852 states/eV/atom.


3.
Mg3BiCl | meta-GGA SCAN | PBEsol geometry

```
5
Lattice="-0.492 -2.013 4.608 -3.489 -3.197 -1.769 3.621 -3.354 -1.079" Properties=species:S:1:pos:R:3 pbc="T T T"
Mg 1.810 -1.677 -0.539
Mg -1.745 -1.599 -0.885
Mg -0.246 -1.006 2.304
Bi -0.180 -4.282 0.880
Cl 0.000 0.000 0.000
```

For the uncorrected formation energy, the calculation gives -48.5 kJ/mol of formula units. The size of the total moment is 0.00 Bohr magnetons per cell. The total energy is -20.40 eV per atom. As for the density of states at the Fermi level: 0.509 states/eV/atom.


4.
ZrRuAu2 | meta-GGA SCAN | PBEsol geometry

```
4
Lattice="3.415 0.000 0.000 0.000 3.415 0.000 0.000 0.000 5.822" Properties=species:S:1:pos:R:3 pbc="T T T"
Zr 1.708 1.708 4.267
Ru 0.000 0.000 2.966
Au 1.708 1.708 1.450
Au 0.000 0.000 0.050
```

The size of the total moment is 0.00 Bohr magnetons per cell. The total energy is -51.41 eV per atom. The formation energy from the elements is -0.4510 eV per atom. As for the density of states at the Fermi level: 0.380 states/eV/atom. For the excess energy over the best structure of this formula in the dataset, the calculation gives 0.072 eV/atom.


5.
CuTeSe2 | meta-GGA SCAN | PBEsol geometry

```
4
Lattice="3.527 0.000 0.000 0.000 4.736 -0.158 -1.763 -2.209 5.226" Properties=species:S:1:pos:R:3 pbc="T T T"
Se 0.000 0.076 1.699
Se 1.763 2.452 3.369
Cu 1.763 0.000 0.000
Te 0.000 2.368 -0.079
```

For the uncorrected formation energy, the calculation gives 43.0 kJ/mol of formula units. The size of the total moment is 0.00 Bohr magnetons per cell. The total energy is -23.04 eV per atom. As for the density of states at the Fermi level: 0.407 states/eV/atom.


6.
Li3Mn2CoO6 | meta-GGA SCAN | PBEsol geometry

```
12
Lattice="-0.094 -2.033 2.124 5.782 -0.546 -0.946 -0.435 5.457 3.209" Properties=species:S:1:pos:R:3 pbc="T T T"
O 1.225 -1.143 0.970
O 4.943 1.585 3.009
O 4.028 4.021 3.417
O 3.179 1.267 0.849
O 2.074 1.611 3.539
O 0.310 1.292 1.378
Li 0.632 2.875 2.713
Li 2.891 -0.273 -0.473
Li 4.621 0.002 1.674
Mn 3.594 2.617 2.183
Mn 1.659 0.260 2.204
Co 0.000 0.000 0.000
```

For the uncorrected formation energy, the calculation gives -2429.2 kJ/mol of formula units. The size of the total moment is 8.00 Bohr magnetons per cell. The total energy is -10.30 eV per atom. For the excess energy over the best structure of this formula in the dataset, the calculation gives 0.000 eV/atom.


7.
Cs3HgCl5 | meta-GGA SCAN | PBEsol geometry

```
36
Lattice="-8.398 0.017 -2.631 -2.988 -3.882 9.511 -1.422 12.410 4.619" Properties=species:S:1:pos:R:3 pbc="T T T"
Cl -4.620 -0.851 1.210
Cl -9.430 3.339 9.865
Cl -1.994 1.608 3.039
Cl -3.377 5.207 1.634
Cl -6.313 2.668 2.114
Cl -8.187 9.396 10.289
Cl -8.212 0.326 6.579
Cl -8.264 -0.924 2.474
Cl -6.495 5.877 9.384
Cl -4.596 8.219 4.919
Cl -3.303 3.406 9.378
Cl -5.755 7.895 12.879
Cl -3.985 0.070 7.802
Cl -10.814 6.937 8.460
Cl -9.505 5.139 2.120
Cl -7.053 0.650 -1.381
Cl -4.588 3.633 5.489
Cl -8.219 4.912 6.010
Cl -4.544 9.469 9.024
Cl -8.823 8.475 3.696
Cs -6.431 5.861 3.380
Cs -5.283 0.049 4.659
Cs -1.737 8.190 3.079
Cs -2.802 10.825 6.547
Cs -11.071 0.355 8.420
Cs -6.637 -1.710 8.970
Cs -10.006 -2.280 4.952
Cs -6.171 10.255 2.529
Cs -9.717 2.115 4.109
Cs -6.377 2.684 8.118
Cs -3.091 6.430 7.389
Cs -7.525 8.496 6.839
Hg -2.992 3.801 3.620
Hg -5.998 8.067 10.434
Hg -9.815 4.744 7.879
Hg -6.810 0.478 1.065
```

For the uncorrected formation energy, the calculation gives -1495.7 kJ/mol of formula units. The size of the total moment is 0.50 Bohr magnetons per cell. The total energy is -26.33 eV per atom. As for the density of states at the Fermi level: 0.000 states/eV/atom.


8.
Bi2Pb3S6 | meta-GGA SCAN | PBEsol geometry

```
22
Lattice="-0.557 -2.700 2.955 6.829 1.575 -0.038 -4.505 15.377 13.202" Properties=species:S:1:pos:R:3 pbc="T T T"
S 5.057 1.389 4.985
S 0.738 11.664 10.796
S 3.908 3.985 7.141
S 2.603 1.643 1.992
S 1.030 2.589 5.323
S 0.678 7.711 9.936
S 1.090 6.542 6.183
S -3.289 12.864 11.134
S -2.531 6.339 8.078
S -0.278 -1.350 1.477
S -2.140 10.268 8.979
S -0.835 12.609 14.127
Bi 0.373 0.764 3.532
Bi -0.622 8.499 7.649
Bi 1.395 13.489 12.588
Bi 2.390 5.753 8.471
Pb 2.663 9.984 9.624
Pb 3.260 3.772 4.061
Pb -1.492 10.480 12.058
Pb -0.895 4.269 6.495
Pb -2.520 14.749 13.002
Pb 4.288 -0.497 3.117
```

For the uncorrected formation energy, the calculation gives -475.5 kJ/mol of formula units. The size of the total moment is 0.00 Bohr magnetons per cell. The total energy is -40.65 eV per atom. For the excess energy over the best structure of this formula in the dataset, the calculation gives 0.000 eV/atom.


Question: What is the size of the total moment in the seventh record?
Answer: 0.50 Bohr magnetons per cell